Record 1
The following is a PBE calculation of a relaxed Rb3CoBr5 crystal, from Alexandria.

a = 9.4766 Å, b = 9.4766 Å, c = 14.9369 Å
α = 90.00°, β = 90.00°, γ = 90.00°
Space group I4/mcm (No. 140)
Unique sites:
Rb  0.0000  0.0000  0.2500
Rb  0.1629  0.3371  0.0000
Co  0.0000  0.5000  0.2500
Br  0.0000  0.0000  0.0000
Br  0.1420  0.3580  0.3471

Computed properties:
The calculation puts the total energy at -0.244 Ry per atom. The uncorrected formation energy comes out at -1284 meV/atom. The volume is 37.26 Å³/atom.

***

Record 2
The following is a PBE calculation of a relaxed Rb2CoBr4 crystal, from Alexandria.

a = 9.8998 Å, b = 7.6864 Å, c = 13.7525 Å
α = 90.00°, β = 90.00°, γ = 90.00°
Space group Pnma (No. 62)
Unique sites:
Rb  0.0196  0.2500  0.1709
Rb  0.1262  0.7500  0.4250
Co  0.2285  0.7500  0.0748
Br  0.0125  0.2500  0.9117
Br  0.1760  0.5024  0.6502
Br  0.1880  0.2500  0.4101

Computed properties:
The calculation puts the total energy at -0.250 Ry per atom. The uncorrected formation energy comes out at -1156 meV/atom. The volume is 37.37 Å³/atom.

***

Record 3
The following is a PBE calculation of a relaxed RbCoBr2 crystal, from Alexandria.

a = 7.6201 Å, b = 7.6201 Å, c = 7.6201 Å
α = 90.00°, β = 90.00°, γ = 90.00°
Space group Fm-3m (No. 225)
Unique sites:
Rb  0.0000  0.0000  0.0000
Co  0.0000  0.0000  0.5000
Br  0.2500  0.2500  0.2500

Computed properties:
The value obtained for the polymorph energy (0 for the lowest one) is 510 meV/atom. The calculation puts the total energy at -0.221 Ry per atom. The uncorrected formation energy comes out at -151 meV/atom. The volume is 27.65 Å³/atom. The density of states at the Fermi level comes out at 35.42 states/eV per cell.

***

Record 4
The following is a PBE calculation of a relaxed Rb5CoBr8 crystal, from Alexandria.

a = 10.1673 Å, b = 10.1673 Å, c = 11.5440 Å
α = 90.00°, β = 90.00°, γ = 90.00°
Space group I-4 (No. 82)
Unique sites:
Rb  0.0000  0.0000  0.0000
Rb  0.1357  0.2900  0.6084
Co  0.0000  0.5000  0.2500
Br  0.0264  0.2821  0.3062
Br  0.1127  0.2976  0.9064

Computed properties:
The calculation puts the total energy at -0.225 Ry per atom. The uncorrected formation energy comes out at -1253 meV/atom. The volume is 42.62 Å³/atom. The density of states at the Fermi level comes out at 2.04 states/eV per cell.

***

Record 5
The following is a PBE calculation of a relaxed Rb2CoBr6 crystal, from Alexandria.

a = 7.1740 Å, b = 7.1740 Å, c = 14.1779 Å
α = 90.00°, β = 90.00°, γ = 90.00°
Space group P4_2/mnm (No. 136)
Unique sites:
Rb  0.0000  0.0000  0.1673
Co  0.0000  0.0000  0.5000
Br  0.1678  0.1678  0.3784
Br  0.2364  0.7636  0.5000

Computed properties:
The calculation puts the total energy at -0.215 Ry per atom. The uncorrected formation energy comes out at -802 meV/atom. The volume is 40.54 Å³/atom. The density of states at the Fermi level comes out at 39.21 states/eV per cell.

***

Record 6
The following is a PBE calculation of a relaxed Rb2CoRhBr6 crystal, from Alexandria.

a = 7.3531 Å, b = 7.3531 Å, c = 10.4795 Å
α = 90.00°, β = 90.00°, γ = 90.00°
Space group I4/mmm (No. 139)
Unique sites:
Rb  0.0000  0.5000  0.2500
Co  0.0000  0.0000  0.0000
Rh  0.0000  0.0000  0.5000
Br  0.0000  0.0000  0.2528
Br  0.2501  0.2501  0.0000

Computed properties:
The calculation puts the total energy at -0.251 Ry per atom. The uncorrected formation energy comes out at -777 meV/atom. The volume is 28.33 Å³/atom. The density of states at the Fermi level comes out at 8.60 states/eV per cell.

***

Record 7
The following is a PBE calculation of a relaxed RbCoRuBr6 crystal, from Alexandria.

a = 6.4872 Å, b = 6.4872 Å, c = 7.8691 Å
α = 90.00°, β = 90.00°, γ = 120.00°
Space group P312 (No. 149)
Unique sites:
Rb  0.0000  0.0000  0.0000
Co  0.3333  0.6667  0.5000
Ru  0.6667  0.3333  0.5000
Br  0.0085  0.3659  0.6743

Computed properties:
The calculation puts the total energy at -0.265 Ry per atom. The uncorrected formation energy comes out at -557 meV/atom. The volume is 31.87 Å³/atom. The density of states at the Fermi level comes out at 2.27 states/eV per cell.

***

Record 8
The following is a PBE calculation of a relaxed Rb2CoRuBr6 crystal, from Alexandria.

a = 10.4232 Å, b = 10.4232 Å, c = 10.4232 Å
α = 90.00°, β = 90.00°, γ = 90.00°
Space group Fm-3m (No. 225)
Unique sites:
Rb  0.2500  0.2500  0.2500
Co  0.0000  0.0000  0.0000
Ru  0.0000  0.0000  0.5000
Br  0.0000  0.0000  0.2526

Computed properties:
The calculation puts the total energy at -0.259 Ry per atom. The uncorrected formation energy comes out at -690 meV/atom. The volume is 28.31 Å³/atom. The density of states at the Fermi level comes out at 87.18 states/eV per cell.

***

Record 9
The following is a PBE calculation of a relaxed RbCo2SbBr8 crystal, from Alexandria.

a = 6.8320 Å, b = 6.8320 Å, c = 30.9965 Å
α = 90.00°, β = 90.00°, γ = 120.00°
Space group R-3 (No. 148, hexagonal axes)
Unique sites:
Rb  0.0000  0.0000  0.0000
Co  0.0000  0.0000  0.2452
Sb  0.0000  0.0000  0.5000
Br  0.0000  0.0000  0.3203
Br  0.0012  0.6730  0.8878

Computed properties:
The calculation puts the total energy at -0.245 Ry per atom. The uncorrected formation energy comes out at -616 meV/atom. The volume is 34.80 Å³/atom.

***

Record 10
The following is a PBE calculation of a relaxed RbScCo2Br8 crystal, from Alexandria.

a = 11.0998 Å, b = 7.5533 Å, c = 10.0582 Å
α = 90.00°, β = 96.21°, γ = 90.00°
Space group C2/m (No. 12)
Unique sites:
Rb  0.0000  0.0000  0.0000
Sc  0.0000  0.0000  0.5000
Co  0.1196  0.5000  0.2969
Br  0.0165  0.2471  0.6946
Br  0.1908  0.5000  0.0875
Br  0.2387  0.0000  0.5038

Computed properties:
The calculation puts the total energy at -0.285 Ry per atom. The uncorrected formation energy comes out at -968 meV/atom. The volume is 34.93 Å³/atom.

***

Record 11
The following is a PBE calculation of a relaxed Rb2CoSiBr6 crystal, from Alexandria.

a = 7.4826 Å, b = 7.4826 Å, c = 10.5640 Å
α = 90.00°, β = 90.00°, γ = 90.00°
Space group I4/mmm (No. 139)
Unique sites:
Rb  0.0000  0.5000  0.2500
Co  0.0000  0.0000  0.0000
Si  0.0000  0.0000  0.5000
Br  0.0000  0.0000  0.2463
Br  0.2464  0.2464  0.0000

Computed properties:
The calculation puts the total energy at -0.243 Ry per atom. The uncorrected formation energy comes out at -853 meV/atom. The volume is 29.57 Å³/atom. The density of states at the Fermi level comes out at 33.75 states/eV per cell.

***

Record 12
The following is a PBE calculation of a relaxed RbSrCoBr5 crystal, from Alexandria.

a = 9.8320 Å, b = 12.9854 Å, c = 10.7643 Å
α = 90.00°, β = 113.71°, γ = 90.00°
Space group C2/c (No. 15)
Unique sites:
Rb  0.0000  0.1483  0.2500
Sr  0.0000  0.5000  0.0000
Co  0.0000  0.1839  0.7500
Br  0.0000  0.4055  0.2500
Br  0.1187  0.2872  0.6355
Br  0.1710  0.0743  0.9256

Computed properties:
The calculation puts the total energy at -0.265 Ry per atom. The uncorrected formation energy comes out at -1334 meV/atom. The volume is 39.32 Å³/atom.